An optimized crystal structure of Zn2MoP. Source: the Alexandria database, functional PBEsol.

abc: 2.9629 2.9629 23.5744
angles: 90.00 90.00 120.00
With the nearest neighbours (Å) after each atom.
Space group R3m (No. 160, hexagonal axes)
Unique sites:
Zn 0.0000 0.0000 0.0000 x3  3 Zn 2.63, 3 P 2.67
Zn 0.0000 0.0000 0.2484 x3  3 Zn 2.63, 3 Mo 2.75
Mo 0.0000 0.0000 0.4906 x3  3 P 2.38
P 0.0000 0.0000 0.7536 x3  3 Mo 2.38

Computed properties:
- Calculated density: 7.16 Mg/m³
- Spin magnetization: 0.000 μB per formula unit
- Energy relative to the elements: -0.039 eV/f.u.
- Energy: -5.19 eV/atom
- Crystal system: trigonal